[1]
Density functional theory data (PBE-GGA) for crystalline TaTePb3 at its relaxed geometry.

Geometry as extended XYZ:
```
5
Lattice="5.879 0.000 0.000 0.000 5.879 0.000 0.000 0.000 5.879" Properties=species:S:1:pos:R:3 pbc="T T T"
Te 0.000 0.000 0.000
Pb 0.000 2.939 0.000
Pb 0.000 0.000 2.939
Pb 2.939 0.000 0.000
Ta 2.939 2.939 2.939
```

Calculated values
- E_form (uncorrected) (eV/atom) = 1.51
- energy above the most stable polymorph in this dataset (meV/atom) = 955

=====

[2]
Density functional theory data (PBE-GGA) for crystalline Rb2TaSnSe4 at its relaxed geometry.

Geometry as extended XYZ:
```
16
Lattice="7.467 0.000 0.000 3.733 6.962 0.000 3.733 0.000 12.078" Properties=species:S:1:pos:R:3 pbc="T T T"
Se 12.668 5.510 10.806
Se 11.599 4.933 7.311
Se 5.201 1.452 1.272
Se 5.999 5.510 1.272
Se 7.068 2.029 7.311
Se 4.132 2.029 4.767
Se 7.068 4.933 4.767
Se 5.999 1.452 10.806
Rb 3.733 0.000 7.796
Rb 9.334 3.481 10.321
Rb 9.334 3.481 1.757
Rb 7.467 0.000 4.282
Ta 3.733 0.000 0.000
Ta 5.600 3.481 6.039
Sn 9.334 3.481 6.039
Sn 0.000 0.000 0.000
```

Calculated values
- E_form (uncorrected) (eV/atom) = -0.71

=====

[3]
Density functional theory data (PBE-GGA) for crystalline TiV2N at its relaxed geometry.

Geometry as extended XYZ:
```
8
Lattice="5.674 0.000 0.000 0.000 5.674 0.000 2.837 2.837 3.730" Properties=species:S:1:pos:R:3 pbc="T T T"
Ti 5.674 2.837 1.865
Ti 0.000 0.000 0.000
N 2.837 2.837 0.000
N 2.837 5.674 1.865
V 2.121 4.256 0.933
V 3.553 1.419 0.933
V 7.093 6.390 2.798
V 4.256 4.958 2.798
```

Calculated values
- E_form (uncorrected) (eV/atom) = 0.03
- energy above the most stable polymorph in this dataset (meV/atom) = 912

=====

[4]
Density functional theory data (PBE-GGA) for crystalline Th6IrC2S3 at its relaxed geometry.

Geometry as extended XYZ:
```
12
Lattice="3.901 0.000 0.000 0.000 8.217 0.174 -1.950 -2.488 8.481" Properties=species:S:1:pos:R:3 pbc="T T T"
S 0.000 6.036 2.920
S 1.950 -0.307 5.734
S 1.950 4.108 0.087
Th 1.950 3.763 3.070
Th 0.000 5.610 5.755
Th 0.000 1.966 5.585
Th 1.950 0.119 2.899
Th 0.000 2.007 0.262
Th 1.950 3.722 8.392
Ir 1.950 0.000 0.000
C 0.000 1.917 2.947
C 1.950 3.812 5.707
```

Calculated values
- E_form (uncorrected) (eV/atom) = -1.20